No. 1
! GGA-PBE Mn2Be2Co3, relaxed; values from VASP
! energy of formation from the pure elements	-0.085	eV/atom
&SYSTEM
  ibrav = 0, nat = 14, ntyp = 3
/
ATOMIC_SPECIES
Mn 54.94 Mn.upf
Be 9.01 Be.upf
Co 58.93 Co.upf
CELL_PARAMETERS angstrom
2.539 0.000 0.000
0.000 20.988 0.000
0.000 0.000 2.532
ATOMIC_POSITIONS angstrom
Mn 0.000 4.228 0.000
Mn 0.000 16.760 0.000
Mn 1.270 6.266 0.000
Mn 1.270 14.722 0.000
Be 0.000 1.270 0.000
Be 0.000 19.717 0.000
Be 1.270 9.223 0.000
Be 1.270 11.764 0.000
Co 0.000 7.823 1.266
Co 0.000 10.494 1.266
Co 0.000 13.165 1.266
Co 1.270 0.000 1.266
Co 1.270 2.671 1.266
Co 1.270 18.317 1.266

---

No. 2
! GGA-PBE CuMoPCl2, relaxed; values from VASP
! formation energy from raw total energies	0.40	eV per atom
! distance to the lowest polymorph of the same formula	0.00	eV per formula unit
&SYSTEM
  ibrav = 0, nat = 5, ntyp = 4
/
ATOMIC_SPECIES
Cu 63.55 Cu.upf
Mo 95.94 Mo.upf
P 30.97 P.upf
Cl 35.45 Cl.upf
CELL_PARAMETERS angstrom
4.851 0.000 0.000
0.000 4.851 0.000
0.000 0.000 4.749
ATOMIC_POSITIONS angstrom
Cu 0.000 0.000 0.000
Mo 2.425 2.425 2.375
P 2.425 2.425 0.000
Cl 0.000 2.425 2.375
Cl 2.425 0.000 2.375

---

No. 3
! GGA-PBE LaPuPa4, relaxed; values from VASP
! energy of formation from the pure elements	0.255	eV/atom
&SYSTEM
  ibrav = 0, nat = 6, ntyp = 3
/
ATOMIC_SPECIES
La 138.91 La.upf
Pu 244.00 Pu.upf
Pa 231.04 Pa.upf
CELL_PARAMETERS angstrom
0.000 4.322 4.322
4.322 0.000 4.322
4.322 4.322 0.000
ATOMIC_POSITIONS angstrom
La 0.000 0.000 0.000
Pu 2.161 2.161 2.161
Pa 5.403 3.241 3.241
Pa 3.241 5.403 3.241
Pa 3.241 3.241 5.403
Pa 5.403 5.403 5.403

---

No. 4
! GGA-PBE Sc2PaS6, relaxed; values from VASP
! formation energy from raw total energies	-1.46	eV per atom
! distance to the lowest polymorph of the same formula	0.31	eV per formula unit
&SYSTEM
  ibrav = 0, nat = 18, ntyp = 3
/
ATOMIC_SPECIES
Sc 44.96 Sc.upf
Pa 231.04 Pa.upf
S 32.06 S.upf
CELL_PARAMETERS angstrom
6.574 -5.656 0.000
6.574 5.656 0.000
-3.242 0.000 5.670
ATOMIC_POSITIONS angstrom
Sc 3.281 0.942 0.005
Sc 1.660 -0.942 2.841
Sc 8.246 0.942 2.830
Sc 6.625 -0.942 5.665
Pa 4.143 2.829 4.253
Pa 5.763 -2.829 1.418
S -0.149 0.877 3.103
S 1.793 2.821 5.491
S 1.472 -0.877 0.268
S 3.457 0.886 2.576
S 6.492 2.821 3.015
S 1.837 -0.886 5.412
S 8.069 0.886 0.259
S 3.414 -2.821 2.656
S 6.449 -0.886 3.094
S 8.434 0.877 5.403
S 8.113 -2.821 0.180
S 10.055 -0.877 2.568

---

No. 5
! GGA-PBE MgPaTa2N4, relaxed; values from VASP
! formation energy from raw total energies	-1.07	eV per atom
&SYSTEM
  ibrav = 0, nat = 16, ntyp = 4
/
ATOMIC_SPECIES
Mg 24.30 Mg.upf
Pa 231.04 Pa.upf
Ta 180.95 Ta.upf
N 14.01 N.upf
CELL_PARAMETERS angstrom
4.574 0.000 0.000
0.000 4.574 0.000
0.000 0.000 9.042
ATOMIC_POSITIONS angstrom
Mg 0.000 0.000 0.000
Mg 2.287 2.287 4.521
Pa 0.000 0.000 4.521
Pa 2.287 2.287 0.000
Ta 0.000 2.287 2.261
Ta 0.000 2.287 6.782
Ta 2.287 0.000 2.261
Ta 2.287 0.000 6.782
N 0.000 0.000 2.150
N 0.000 0.000 6.892
N 0.000 2.287 0.000
N 0.000 2.287 4.521
N 2.287 0.000 0.000
N 2.287 0.000 4.521
N 2.287 2.287 2.371
N 2.287 2.287 6.672

---

No. 6
! GGA-PBE Mn2TcGeC, relaxed; values from VASP
! energy of formation from the pure elements	-0.006	eV/atom
&SYSTEM
  ibrav = 0, nat = 5, ntyp = 4
/
ATOMIC_SPECIES
Mn 54.94 Mn.upf
Tc 98.00 Tc.upf
Ge 72.64 Ge.upf
C 12.01 C.upf
CELL_PARAMETERS angstrom
3.814 0.000 0.000
0.000 3.814 0.000
0.000 0.000 4.096
ATOMIC_POSITIONS angstrom
Mn 0.000 1.907 0.000
Mn 1.907 0.000 0.000
Tc 0.000 0.000 2.048
Ge 1.907 1.907 2.048
C 0.000 0.000 0.000

---

No. 7
! GGA-PBE BBr, relaxed; values from VASP
! formation energy from raw total energies	0.19	eV per atom
! distance to the lowest polymorph of the same formula	1.02	eV per formula unit
&SYSTEM
  ibrav = 0, nat = 16, ntyp = 2
/
ATOMIC_SPECIES
B 10.81 B.upf
Br 79.90 Br.upf
CELL_PARAMETERS angstrom
12.578 0.000 0.000
0.000 12.578 0.000
0.000 0.000 3.120
ATOMIC_POSITIONS angstrom
B 2.780 3.221 0.000
B 3.068 9.069 1.560
B 3.221 9.798 0.000
B 3.509 3.068 1.560
B 9.069 9.510 1.560
B 9.357 2.780 0.000
B 9.510 3.509 1.560
B 9.798 9.357 0.000
Br 0.897 3.627 0.000
Br 2.662 7.186 1.560
Br 3.627 11.681 0.000
Br 5.392 2.662 1.560
Br 7.186 9.916 1.560
Br 8.951 0.897 0.000
Br 9.916 5.392 1.560
Br 11.681 8.951 0.000

---

No. 8
! GGA-PBE CaHfNi2Pd, relaxed; values from VASP
! energy of formation from the pure elements	0.525	eV/atom
&SYSTEM
  ibrav = 0, nat = 5, ntyp = 4
/
ATOMIC_SPECIES
Ca 40.08 Ca.upf
Hf 178.49 Hf.upf
Ni 58.69 Ni.upf
Pd 106.42 Pd.upf
CELL_PARAMETERS angstrom
4.850 0.000 0.000
0.000 4.850 0.000
0.000 0.000 4.707
ATOMIC_POSITIONS angstrom
Ca 0.000 0.000 0.000
Hf 2.425 2.425 0.000
Ni 0.000 2.425 2.353
Ni 2.425 0.000 2.353
Pd 2.425 2.425 2.353

---

No. 9
! GGA-PBE Ni2SbMoP, relaxed; values from VASP
! formation energy from raw total energies	0.83	eV per atom
&SYSTEM
  ibrav = 0, nat = 5, ntyp = 4
/
ATOMIC_SPECIES
Ni 58.69 Ni.upf
Sb 121.76 Sb.upf
Mo 95.94 Mo.upf
P 30.97 P.upf
CELL_PARAMETERS angstrom
4.622 0.000 0.000
0.000 4.622 0.000
0.000 0.000 4.548
ATOMIC_POSITIONS angstrom
Ni 0.000 2.311 0.000
Ni 2.311 0.000 0.000
Sb 0.000 0.000 2.274
Mo 2.311 2.311 0.000
P 2.311 2.311 2.274

---

No. 10
! GGA-PBE CrCd4Cu, relaxed; values from VASP
! energy of formation from the pure elements	0.439	eV/atom
&SYSTEM
  ibrav = 0, nat = 6, ntyp = 3
/
ATOMIC_SPECIES
Cr 52.00 Cr.upf
Cd 112.41 Cd.upf
Cu 63.55 Cu.upf
CELL_PARAMETERS angstrom
0.000 3.964 3.964
3.964 0.000 3.964
3.964 3.964 0.000
ATOMIC_POSITIONS angstrom
Cr 0.000 0.000 0.000
Cd 2.974 2.974 2.974
Cd 4.953 4.953 2.974
Cd 4.953 2.974 4.953
Cd 2.974 4.953 4.953
Cu 5.945 5.945 5.945

---

No. 11
! GGA-PBE Y3ScHg7, relaxed; values from VASP
! energy of formation from the pure elements	-0.224	eV/atom
&SYSTEM
  ibrav = 0, nat = 22, ntyp = 3
/
ATOMIC_SPECIES
Y 88.91 Y.upf
Sc 44.96 Sc.upf
Hg 200.59 Hg.upf
CELL_PARAMETERS angstrom
1.831 -16.184 0.000
1.831 16.184 0.000
0.000 0.000 11.225
ATOMIC_POSITIONS angstrom
Y 1.831 14.177 6.456
Y 1.831 14.177 10.382
Y 1.831 10.392 2.806
Y 1.831 -10.392 8.419
Y 1.831 -14.177 0.843
Y 1.831 -14.177 4.769
Sc 1.831 13.750 2.806
Sc 1.831 -13.750 8.419
Hg 1.831 7.292 6.430
Hg 1.831 7.292 10.407
Hg 1.831 3.983 6.472
Hg 1.831 3.983 10.366
Hg 1.831 3.629 2.806
Hg 1.831 0.581 6.962
Hg 1.831 0.581 9.876
Hg 1.831 -0.581 1.349
Hg 1.831 -0.581 4.263
Hg 1.831 -3.629 8.419
Hg 1.831 -3.983 0.859
Hg 1.831 -3.983 4.753
Hg 1.831 -7.292 0.818
Hg 1.831 -7.292 4.795

---

No. 12
! GGA-PBE La2P3Pt12Rh, relaxed; values from VASP
! energy of formation from the pure elements	-0.371	eV/atom
&SYSTEM
  ibrav = 0, nat = 18, ntyp = 4
/
ATOMIC_SPECIES
La 138.91 La.upf
P 30.97 P.upf
Pt 195.08 Pt.upf
Rh 102.91 Rh.upf
CELL_PARAMETERS angstrom
4.116 2.376 6.139
-4.116 2.376 6.139
0.000 -4.753 6.139
ATOMIC_POSITIONS angstrom
La 0.000 0.000 2.131
La 0.000 0.000 16.287
P -2.058 -1.188 6.139
P -2.058 1.188 12.279
P 0.000 2.376 6.139
Pt -2.065 -1.192 8.415
Pt 0.000 -2.127 5.610
Pt -1.842 1.064 5.610
Pt 0.000 -2.384 10.003
Pt -2.065 1.192 10.003
Pt -1.842 -1.064 12.808
Pt 1.842 1.064 5.610
Pt 2.065 -1.192 8.415
Pt 0.000 2.384 8.415
Pt 1.842 -1.064 12.808
Pt 0.000 2.127 12.808
Pt 2.065 1.192 10.003
Rh 0.000 0.000 9.209